Record 1
Density functional theory data (PBE-GGA) for crystalline Ba2AlAs at its relaxed geometry.

Properties
Polymorph energy (0 for the lowest one) ... 15.1 kJ per mole of atoms
N(E_F) ... 0.467 states/eV/atom
Crystal system ... tetragonal
Total magnetic moment ... 0.000 μB per formula unit

a = 4.2245 Å, b = 4.2245 Å, c = 7.6011 Å
α = 90.00°, β = 90.00°, γ = 89.98°
Last column: nearest neighbours and their distance in Å.
Atoms (fractional coordinates):
As 0.5000 0.5000 0.7500  8 Ba 3.44, 2 Al 3.80
Ba 0.0000 0.0000 0.9742  1 Ba 3.41, 4 As 3.44, 4 Al 3.65
Ba 0.0000 0.0000 0.5258  1 Ba 3.41, 4 As 3.44, 4 Al 3.65
Al 0.5000 0.5000 0.2500  8 Ba 3.65, 2 As 3.80

Record 2
Density functional theory data (PBE-GGA) for crystalline Ba2CdSiBi at its relaxed geometry.

Properties
N(E_F) ... 0.847 states/eV/atom
Crystal system ... tetragonal
Total magnetic moment ... 1.995 μB per formula unit
E_form (uncorrected) ... 0.3218 eV per atom

a = 6.5455 Å, b = 5.4290 Å, c = 6.5455 Å
α = 90.00°, β = 90.00°, γ = 90.00°
Last column: nearest neighbours and their distance in Å.
Atoms (fractional coordinates):
Si 0.5000 0.5000 0.5000  8 Ba 4.25, 4 Bi 4.63
Cd 0.0000 0.0000 0.0000  2 Bi 2.71
Bi 0.0000 0.5000 0.0000  2 Cd 2.71
Ba 0.0000 0.0000 0.5000  2 Cd 3.27
Ba 0.5000 0.0000 0.0000  2 Cd 3.27

Record 3
Density functional theory data (PBE-GGA) for crystalline LiSm2As3Pd4 at its relaxed geometry.

Properties
N(E_F) ... 0.461 states/eV/atom
Crystal system ... tetragonal
Total magnetic moment ... 0.000 μB per formula unit

a = 4.2477 Å, b = 4.2477 Å, c = 10.3999 Å
α = 90.00°, β = 90.00°, γ = 90.00°
Last column: nearest neighbours and their distance in Å.
Atoms (fractional coordinates):
Li 0.5000 0.5000 0.5000  4 Pd 2.49
Sm 0.5000 0.0000 0.2387  6 As 3.17-3.45, 8 Pd 3.27-3.32, 2 Li 3.45
Sm 0.0000 0.5000 0.7613  6 As 3.17-3.45, 8 Pd 3.27-3.32, 2 Li 3.45
As 0.0000 0.0000 0.5000  4 Pd 2.49
As 0.5000 0.0000 0.8590  5 Pd 2.43-2.58
As 0.0000 0.5000 0.1410  5 Pd 2.43-2.58
Pd 0.5000 0.5000 0.0000  4 As 2.58
Pd 0.0000 0.0000 0.0000  4 As 2.58
Pd 0.5000 0.0000 0.6258  3 As 2.43-2.49, 2 Li 2.49
Pd 0.0000 0.5000 0.3742  3 As 2.43-2.49, 2 Li 2.49

Record 4
Density functional theory data (PBE-GGA) for crystalline CeTmOsAu at its relaxed geometry.

Properties
N(E_F) ... 1.455 states/eV/atom
Crystal system ... cubic
Total magnetic moment ... 0.336 μB per formula unit

a = 4.9727 Å, b = 4.9727 Å, c = 4.9727 Å
α = 60.00°, β = 60.00°, γ = 60.00°
Last column: nearest neighbours and their distance in Å.
Atoms (fractional coordinates):
Os 0.7500 0.7500 0.7500  4 Ce 3.05, 4 Tm 3.05
Tm 0.0000 0.0000 0.0000  4 Au 3.05, 4 Os 3.05
Au 0.2500 0.2500 0.2500  4 Ce 3.05, 4 Tm 3.05
Ce 0.5000 0.5000 0.5000  4 Os 3.05, 4 Au 3.05

Record 5
Density functional theory data (PBE-GGA) for crystalline PmY6Er12 at its relaxed geometry.

Properties
Polymorph energy (0 for the lowest one) ... 1.8 kJ per mole of atoms
N(E_F) ... 1.258 states/eV/atom
Crystal system ... trigonal
Total magnetic moment ... 0.003 μB per formula unit

a = 8.7774 Å, b = 8.7774 Å, c = 8.7774 Å
α = 98.83°, β = 98.83°, γ = 98.83°
Last column: nearest neighbours and their distance in Å.
Atoms (fractional coordinates):
Pm 0.0000 0.0000 0.0000  6 Y 3.63
Y 0.7416 0.2054 0.2054  4 Er 2.95-3.18
Y 0.2054 0.2054 0.7416  4 Er 2.95-3.18
Y 0.2054 0.7416 0.2054  4 Er 2.95-3.18
Y 0.7946 0.7946 0.2584  4 Er 2.95-3.18
Y 0.2584 0.7946 0.7946  4 Er 2.95-3.18
Y 0.7946 0.2584 0.7946  4 Er 2.95-3.18
Er 0.8822 0.1178 0.5000  4 Y 2.95-3.18, 1 Er 3.14
Er 0.8159 0.5296 0.5296  9 Er 3.45-3.86, 3 Y 3.58-3.60
Er 0.5296 0.5296 0.8159  9 Er 3.45-3.86, 3 Y 3.58-3.60
Er 0.4704 0.1841 0.4704  9 Er 3.45-3.86, 3 Y 3.58-3.60
Er 0.4704 0.4704 0.1841  9 Er 3.45-3.86, 3 Y 3.58-3.60
Er 0.1841 0.4704 0.4704  9 Er 3.45-3.86, 3 Y 3.58-3.60
Er 0.1178 0.5000 0.8822  4 Y 2.95-3.18, 1 Er 3.14
Er 0.5000 0.8822 0.1178  4 Y 2.95-3.18, 1 Er 3.14
Er 0.1178 0.8822 0.5000  4 Y 2.95-3.18, 1 Er 3.14
Er 0.8822 0.5000 0.1178  4 Y 2.95-3.18, 1 Er 3.14
Er 0.5000 0.1178 0.8822  4 Y 2.95-3.18, 1 Er 3.14
Er 0.5296 0.8159 0.5296  9 Er 3.45-3.86, 3 Y 3.58-3.60

Record 6
Density functional theory data (PBE-GGA) for crystalline TlAgHAu2 at its relaxed geometry.

Properties
N(E_F) ... 0.204 states/eV/atom
Crystal system ... tetragonal
Total magnetic moment ... 0.000 μB per formula unit

a = 4.0756 Å, b = 4.0756 Å, c = 5.2552 Å
α = 90.00°, β = 90.00°, γ = 90.00°
Last column: nearest neighbours and their distance in Å.
Atoms (fractional coordinates):
H 0.0000 0.0000 0.0000  4 Au 2.04
Tl 0.5000 0.5000 0.5000  4 Ag 2.88
Au 0.0000 0.5000 0.0000  2 H 2.04
Au 0.5000 0.0000 0.0000  2 H 2.04
Ag 0.0000 0.0000 0.5000  2 H 2.63, 4 Tl 2.88

Record 7
Density functional theory data (PBE-GGA) for crystalline Ta2HOsN at its relaxed geometry.

Properties
Polymorph energy (0 for the lowest one) ... 0.0 kJ per mole of atoms
N(E_F) ... 0.576 states/eV/atom
Crystal system ... tetragonal
Total magnetic moment ... 0.000 μB per formula unit

a = 4.3058 Å, b = 3.3657 Å, c = 4.3058 Å
α = 90.00°, β = 90.00°, γ = 90.00°
Last column: nearest neighbours and their distance in Å.
Atoms (fractional coordinates):
H 0.0000 0.0000 0.0000  2 Os 1.68
N 0.5000 0.5000 0.5000  8 Ta 2.73, 4 Os 3.04
Os 0.0000 0.5000 0.0000  2 H 1.68
Ta 0.0000 0.0000 0.5000  2 H 2.15
Ta 0.5000 0.0000 0.0000  2 H 2.15

Record 8
Density functional theory data (PBE-GGA) for crystalline ScCuRh2 at its relaxed geometry.

Properties
N(E_F) ... 1.568 states/eV/atom
Crystal system ... cubic
Total magnetic moment ... 0.010 μB per formula unit

a = 4.4211 Å, b = 4.4211 Å, c = 4.4211 Å
α = 60.00°, β = 60.00°, γ = 60.00°
Last column: nearest neighbours and their distance in Å.
Atoms (fractional coordinates):
Cu 0.5000 0.5000 0.5000  4 Sc 2.71, 4 Rh 2.71
Rh 0.0000 0.0000 0.0000  4 Sc 2.71, 4 Rh 2.71
Rh 0.7500 0.7500 0.7500  4 Cu 2.71, 4 Rh 2.71
Sc 0.2500 0.2500 0.2500  4 Rh 2.71, 4 Cu 2.71

Record 9
Density functional theory data (PBE-GGA) for crystalline NaLiMgSe2 at its relaxed geometry.

Properties
N(E_F) ... 0.290 states/eV/atom
Crystal system ... tetragonal
Total magnetic moment ... 0.000 μB per formula unit
E_form (uncorrected) ... -0.3332 eV per atom

a = 4.9701 Å, b = 4.5659 Å, c = 4.9701 Å
α = 90.00°, β = 90.00°, γ = 90.00°
Last column: nearest neighbours and their distance in Å.
Atoms (fractional coordinates):
Na 0.5000 0.5000 0.5000  8 Se 3.37, 4 Mg 3.51
Mg 0.0000 0.5000 0.0000  2 Li 2.28
Se 0.0000 0.0000 0.5000  2 Li 2.49
Se 0.5000 0.0000 0.0000  2 Li 2.49
Li 0.0000 0.0000 0.0000  2 Mg 2.28, 4 Se 2.49

Record 10
Density functional theory data (PBE-GGA) for crystalline CaNdZr at its relaxed geometry.

Properties
Polymorph energy (0 for the lowest one) ... 0.0 kJ per mole of atoms
N(E_F) ... 1.041 states/eV/atom
Crystal system ... tetragonal
Total magnetic moment ... 0.000 μB per formula unit

a = 3.4489 Å, b = 3.4489 Å, c = 8.4123 Å
α = 101.83°, β = 101.83°, γ = 90.00°
Last column: nearest neighbours and their distance in Å.
Atoms (fractional coordinates):
Ca 0.0105 0.0105 0.0210  4 Ca 3.45, 4 Zr 3.60
Nd 0.3147 0.3147 0.6293  4 Zr 3.32, 4 Nd 3.45
Zr 0.6748 0.6748 0.3496  4 Nd 3.32, 4 Zr 3.45, 4 Ca 3.60

Record 11
Density functional theory data (PBE-GGA) for crystalline Y2Be2P at its relaxed geometry.

Properties
Polymorph energy (0 for the lowest one) ... 0.0 kJ per mole of atoms
N(E_F) ... 0.895 states/eV/atom
Crystal system ... tetragonal
Total magnetic moment ... 0.000 μB per formula unit

a = 6.4895 Å, b = 6.4895 Å, c = 4.2072 Å
α = 90.00°, β = 90.00°, γ = 90.00°
Last column: nearest neighbours and their distance in Å.
Atoms (fractional coordinates):
Y 0.1741 0.6741 0.5000  6 Be 2.83-2.86
Y 0.6741 0.8259 0.5000  6 Be 2.83-2.86
Y 0.8259 0.3259 0.5000  6 Be 2.83-2.86
Y 0.3259 0.1741 0.5000  6 Be 2.83-2.86
P 0.0000 0.0000 0.0000  4 Be 2.59
P 0.5000 0.5000 0.0000  4 Be 2.59
Be 0.3803 0.8803 0.0000  1 Be 2.20
Be 0.8803 0.6197 0.0000  1 Be 2.20
Be 0.6197 0.1197 0.0000  1 Be 2.20
Be 0.1197 0.3803 0.0000  1 Be 2.20

Record 12
Density functional theory data (PBE-GGA) for crystalline Sr2VRu at its relaxed geometry.

Properties
Polymorph energy (0 for the lowest one) ... 0.0 kJ per mole of atoms
N(E_F) ... 1.305 states/eV/atom
Crystal system ... tetragonal
Total magnetic moment ... 2.676 μB per formula unit

a = 11.4793 Å, b = 11.4793 Å, c = 8.4344 Å
α = 47.12°, β = 47.12°, γ = 90.00°
Last column: nearest neighbours and their distance in Å.
Atoms (fractional coordinates):
Ru 0.0000 0.0000 0.0000  2 V 2.29
Ru 0.7500 0.2500 0.5000  2 V 2.29
Sr 0.8011 0.1250 0.2500  2 Ru 3.05
Sr 0.9489 0.6250 0.2500  2 Ru 3.05
Sr 0.3750 0.1989 0.7500  2 Ru 3.05
Sr 0.8750 0.0511 0.7500  2 Ru 3.05
V 0.5000 0.5000 0.0000  2 Ru 2.29
V 0.2500 0.7500 0.5000  2 Ru 2.29

| no. | ρ (g/cm³) | total DFT energy (no corrections) (eV for the cell shown) |
| --- | --- | --- |
| 1 | 4.6 | -14.14 |
| 2 | 4.5 | -12.46 |
| 3 | 8.5 | -54.94 |
| 4 | 13.3 | -26.53 |
| 5 | 6.9 | -89.31 |
| 6 | 13.5 | -13.90 |
| 7 | 15.1 | -43.03 |
| 8 | 8.5 | -26.43 |
| 9 | 3.1 | -13.46 |
| 10 | 4.8 | -14.73 |
| 11 | 4.3 | -54.35 |
| 12 | 3.6 | -38.71 |